# Ce3AlCrS7, optimized geometry, DFT PBE
data_Ce3AlCrS7
_chemical_formula_sum 'Ce6 Al2 Cr2 S14'
_symmetry_space_group_name_H-M 'P 63'
_symmetry_Int_Tables_number 173
_symmetry_space_group_name_Hall 'P 6c'
_cell_length_a 9.7316
_cell_length_b 9.7316
_cell_length_c 6.2648
_cell_angle_alpha 90.00
_cell_angle_beta 90.00
_cell_angle_gamma 120.00
loop_
_atom_site_label
_atom_site_type_symbol
_atom_site_fract_x
_atom_site_fract_y
_atom_site_fract_z
Ce1 Ce 0.1621 0.3729 0.0000
Al1 Al 0.3333 0.6667 0.4251
Cr1 Cr 0.0000 0.0000 0.3496
S1 S 0.0882 0.5610 0.2835
S2 S 0.0974 0.2203 0.5967
S3 S 0.3333 0.6667 0.7825
# Density of states at the Fermi level, states/eV per atom: 1.353
# Formation energy from raw total energies, eV per formula unit: -19.1
# Total magnetization, μB per formula unit: 1.04